1.
Crystalline Er2Si2O7 at its relaxed geometry. Source: OQMD, functional PBE-GGA. Values from VASP.

Structure (Quantum ESPRESSO input):
```
&SYSTEM
  ibrav = 0, nat = 22, ntyp = 3
/
ATOMIC_SPECIES
Er 167.26 Er.upf
Si 28.09 Si.upf
O 16.00 O.upf
CELL_PARAMETERS angstrom
4.6825 0.0000 0.0000
0.0000 10.7487 0.0000
-0.5831 0.0000 5.4966
ATOMIC_POSITIONS crystal
Er 0.1123 0.1503 0.4075
Er 0.1123 0.3497 0.9075
Er 0.8877 0.6503 0.0925
Er 0.8877 0.8497 0.5925
Si 0.3591 0.6133 0.6449
Si 0.3591 0.8867 0.1449
Si 0.6409 0.1133 0.8551
Si 0.6409 0.3867 0.3551
O 0.1202 0.6841 0.4577
O 0.1202 0.8159 0.9577
O 0.2046 0.5513 0.8703
O 0.2046 0.9487 0.3703
O 0.3809 0.2048 0.7455
O 0.3809 0.2952 0.2455
O 0.5000 0.0000 0.0000
O 0.5000 0.5000 0.5000
O 0.6191 0.7048 0.7545
O 0.6191 0.7952 0.2545
O 0.7954 0.0513 0.6297
O 0.7954 0.4487 0.1297
O 0.8798 0.1841 0.0423
O 0.8798 0.3159 0.5423
```

symmetry: No. 14
total energy: -8.219 eV/atom
size of the total moment: 0.0 Bohr magnetons per cell



2.
Crystalline Er2Si2O7 at its relaxed geometry. Source: OQMD, functional PBE-GGA. Values from VASP.

Structure (Quantum ESPRESSO input):
```
&SYSTEM
  ibrav = 0, nat = 11, ntyp = 3
/
ATOMIC_SPECIES
Er 167.26 Er.upf
Si 28.09 Si.upf
O 16.00 O.upf
CELL_PARAMETERS angstrom
3.3992 -4.4790 0.0000
3.3992 4.4790 0.0000
-1.0015 0.0000 4.5889
ATOMIC_POSITIONS crystal
Er 0.1927 0.8073 0.0000
Er 0.8073 0.1927 0.0000
Si 0.2807 0.2807 0.5908
Si 0.7193 0.7193 0.4092
O 0.1133 0.4149 0.7816
O 0.1147 0.1147 0.2844
O 0.4149 0.1133 0.7816
O 0.5000 0.5000 0.5000
O 0.5851 0.8867 0.2184
O 0.8853 0.8853 0.7156
O 0.8867 0.5851 0.2184
```

symmetry: No. 12
total energy: -8.222 eV/atom
size of the total moment: 0.0 Bohr magnetons per cell



3.
Crystalline Er2SiO4 at its relaxed geometry. Source: OQMD, functional PBE-GGA. Values from VASP.

Structure (Quantum ESPRESSO input):
```
&SYSTEM
  ibrav = 0, nat = 28, ntyp = 3
/
ATOMIC_SPECIES
Er 167.26 Er.upf
Si 28.09 Si.upf
O 16.00 O.upf
CELL_PARAMETERS angstrom
6.4900 0.0000 0.0000
0.0000 5.4534 0.0000
0.0000 0.0000 9.7499
ATOMIC_POSITIONS crystal
Er 0.0300 0.2500 0.1882
Er 0.1091 0.2500 0.5460
Er 0.3909 0.7500 0.0460
Er 0.4700 0.7500 0.6882
Er 0.5300 0.2500 0.3118
Er 0.6091 0.2500 0.9540
Er 0.8909 0.7500 0.4540
Er 0.9700 0.7500 0.8118
Si 0.1601 0.2500 0.8359
Si 0.3399 0.7500 0.3359
Si 0.6601 0.2500 0.6641
Si 0.8399 0.7500 0.1641
O 0.0389 0.7500 0.0530
O 0.1565 0.7500 0.6204
O 0.1894 0.5040 0.3708
O 0.1894 0.9960 0.3708
O 0.3106 0.0040 0.8708
O 0.3106 0.4960 0.8708
O 0.3435 0.2500 0.1204
O 0.4611 0.2500 0.5530
O 0.5389 0.7500 0.4470
O 0.6565 0.7500 0.8796
O 0.6894 0.5040 0.1292
O 0.6894 0.9960 0.1292
O 0.8106 0.0040 0.6292
O 0.8106 0.4960 0.6292
O 0.8435 0.2500 0.3796
O 0.9611 0.2500 0.9470
```

symmetry: No. 62
total energy: -7.824 eV/atom
size of the total moment: 0.0 Bohr magnetons per cell



4.
Crystalline Er2SiO4 at its relaxed geometry. Source: OQMD, functional PBE-GGA. Values from VASP.

Structure (Quantum ESPRESSO input):
```
&SYSTEM
  ibrav = 0, nat = 28, ntyp = 3
/
ATOMIC_SPECIES
Er 167.26 Er.upf
Si 28.09 Si.upf
O 16.00 O.upf
CELL_PARAMETERS angstrom
6.0029 0.0000 0.0000
0.0000 6.6629 0.0000
-4.6215 0.0000 8.9120
ATOMIC_POSITIONS crystal
Er 0.0627 0.0739 0.2218
Er 0.0627 0.4261 0.7218
Er 0.2879 0.6277 0.0709
Er 0.2879 0.8723 0.5709
Er 0.7121 0.1277 0.4291
Er 0.7121 0.3723 0.9291
Er 0.9373 0.5739 0.2782
Er 0.9373 0.9261 0.7782
Si 0.4198 0.1646 0.1115
Si 0.4198 0.3354 0.6115
Si 0.5802 0.6646 0.3885
Si 0.5802 0.8354 0.8885
O 0.0647 0.1052 0.6353
O 0.0647 0.3948 0.1353
O 0.2645 0.5403 0.5081
O 0.2636 0.7455 0.7762
O 0.2636 0.7545 0.2762
O 0.2645 0.9597 0.0081
O 0.3493 0.1695 0.4676
O 0.3493 0.3305 0.9676
O 0.6507 0.6695 0.0324
O 0.6507 0.8305 0.5324
O 0.7355 0.0403 0.9919
O 0.7364 0.2455 0.7238
O 0.7364 0.2545 0.2238
O 0.7355 0.4597 0.4919
O 0.9353 0.6052 0.8647
O 0.9353 0.8948 0.3647
```

symmetry: No. 14
total energy: -7.804 eV/atom
size of the total moment: 0.0 Bohr magnetons per cell



5.
Crystalline Er2Si2O7 at its relaxed geometry. Source: OQMD, functional PBE-GGA. Values from VASP.

Structure (Quantum ESPRESSO input):
```
&SYSTEM
  ibrav = 0, nat = 88, ntyp = 3
/
ATOMIC_SPECIES
Er 167.26 Er.upf
Si 28.09 Si.upf
O 16.00 O.upf
CELL_PARAMETERS angstrom
6.5312 0.0000 0.0000
0.0000 6.5312 0.0000
0.0000 0.0000 23.8191
ATOMIC_POSITIONS crystal
Er 0.0157 0.6539 0.0000
Er 0.1472 0.5888 0.3567
Er 0.2338 0.2908 0.1046
Er 0.2356 0.3570 0.7410
Er 0.2908 0.7662 0.8546
Er 0.3461 0.0157 0.2500
Er 0.3570 0.7644 0.4910
Er 0.4112 0.1472 0.6067
Er 0.5888 0.8528 0.1067
Er 0.6430 0.2356 0.9910
Er 0.6539 0.9843 0.7500
Er 0.7092 0.2338 0.3546
Er 0.7644 0.6430 0.2410
Er 0.7662 0.7092 0.6046
Er 0.8528 0.4112 0.8567
Er 0.9843 0.3461 0.5000
Si 0.1100 0.1721 0.9672
Si 0.1326 0.7718 0.1190
Si 0.1721 0.8900 0.7172
Si 0.2282 0.1326 0.3690
Si 0.2369 0.6349 0.6162
Si 0.2377 0.5165 0.2243
Si 0.3651 0.2369 0.8662
Si 0.4835 0.2377 0.4743
Si 0.5165 0.7623 0.9743
Si 0.6349 0.7631 0.3662
Si 0.7623 0.4835 0.7243
Si 0.7631 0.3651 0.1162
Si 0.7718 0.8674 0.8690
Si 0.8279 0.1100 0.2172
Si 0.8674 0.2282 0.6190
Si 0.8900 0.8279 0.4672
O 0.0044 0.9574 0.2392
O 0.0349 0.2736 0.3880
O 0.0426 0.0044 0.4892
O 0.0465 0.6438 0.4466
O 0.0621 0.5075 0.2718
O 0.0733 0.6058 0.5648
O 0.0782 0.1728 0.5879
O 0.0907 0.7726 0.6591
O 0.0927 0.6139 0.1721
O 0.1728 0.9218 0.3379
O 0.2274 0.0907 0.9091
O 0.2267 0.4226 0.8407
O 0.2706 0.7193 0.7589
O 0.2736 0.9651 0.1380
O 0.2807 0.2706 0.0089
O 0.2809 0.6347 0.0772
O 0.3026 0.6816 0.9489
O 0.3184 0.3026 0.1989
O 0.3293 0.4146 0.4957
O 0.3293 0.4403 0.6500
O 0.3562 0.0465 0.6966
O 0.3653 0.2809 0.3272
O 0.3861 0.0927 0.4221
O 0.3942 0.0733 0.8148
O 0.4146 0.6707 0.2457
O 0.4226 0.7733 0.5907
O 0.4403 0.6707 0.4000
O 0.4925 0.0621 0.5218
O 0.5075 0.9379 0.0218
O 0.5597 0.3293 0.9000
O 0.5774 0.2267 0.0907
O 0.5854 0.3293 0.7457
O 0.6058 0.9267 0.3148
O 0.6139 0.9073 0.9221
O 0.6347 0.7191 0.8272
O 0.6438 0.9535 0.1966
O 0.6707 0.5597 0.1500
O 0.6707 0.5854 0.9957
O 0.6816 0.6974 0.6989
O 0.6974 0.3184 0.4489
O 0.7191 0.3653 0.5772
O 0.7193 0.7294 0.5089
O 0.7264 0.0349 0.6380
O 0.7294 0.2807 0.2589
O 0.7733 0.5774 0.3407
O 0.7726 0.9093 0.4091
O 0.8272 0.0782 0.8379
O 0.9073 0.3861 0.6721
O 0.9093 0.2274 0.1591
O 0.9218 0.8272 0.0879
O 0.9267 0.3942 0.0648
O 0.9379 0.4925 0.7718
O 0.9535 0.3562 0.9466
O 0.9574 0.9956 0.9892
O 0.9651 0.7264 0.8880
O 0.9956 0.0426 0.7392
```

symmetry: No. 76
total energy: -8.167 eV/atom
size of the total moment: 0.0 Bohr magnetons per cell



6.
Crystalline Er4SiO3 at its relaxed geometry. Source: OQMD, functional PBE-GGA. Values from VASP.

Structure (Quantum ESPRESSO input):
```
&SYSTEM
  ibrav = 0, nat = 8, ntyp = 3
/
ATOMIC_SPECIES
Er 167.26 Er.upf
Si 28.09 Si.upf
O 16.00 O.upf
CELL_PARAMETERS angstrom
-2.5468 2.5468 4.9573
2.5468 -2.5468 4.9573
2.5468 2.5468 -4.9573
ATOMIC_POSITIONS crystal
Er 0.0000 0.5000 0.5000
Er 0.2342 0.2342 0.0000
Er 0.5000 0.0000 0.5000
Er 0.7658 0.7658 0.0000
Si 0.5000 0.5000 0.0000
O 0.0000 0.0000 0.0000
O 0.2500 0.7500 0.5000
O 0.7500 0.2500 0.5000
```

symmetry: No. 139
total energy: -6.950 eV/atom
size of the total moment: 0.0 Bohr magnetons per cell



7.
Crystalline Er2SiTeO4 at its relaxed geometry. Source: OQMD, functional PBE-GGA. Values from VASP.

Structure (Quantum ESPRESSO input):
```
&SYSTEM
  ibrav = 0, nat = 32, ntyp = 4
/
ATOMIC_SPECIES
Er 167.26 Er.upf
Si 28.09 Si.upf
Te 127.60 Te.upf
O 16.00 O.upf
CELL_PARAMETERS angstrom
6.0649 0.0000 0.0000
0.0000 6.9068 0.0000
0.0000 0.0000 10.9350
ATOMIC_POSITIONS crystal
Er 0.1110 0.0293 0.2500
Er 0.1110 0.4707 0.7500
Er 0.3886 0.7500 0.0000
Er 0.3886 0.7500 0.5000
Er 0.6114 0.2500 0.0000
Er 0.6114 0.2500 0.5000
Er 0.8890 0.5293 0.2500
Er 0.8890 0.9707 0.7500
Si 0.1141 0.2500 0.0000
Si 0.1141 0.2500 0.5000
Si 0.8859 0.7500 0.0000
Si 0.8859 0.7500 0.5000
Te 0.4064 0.0983 0.7500
Te 0.4064 0.4017 0.2500
Te 0.5936 0.5983 0.7500
Te 0.5936 0.9017 0.2500
O 0.0555 0.7386 0.6190
O 0.0555 0.7386 0.8810
O 0.0555 0.7614 0.1190
O 0.0555 0.7614 0.3810
O 0.2762 0.0679 0.0336
O 0.2762 0.0679 0.4664
O 0.2762 0.4321 0.5336
O 0.2762 0.4321 0.9664
O 0.7238 0.5679 0.0336
O 0.7238 0.5679 0.4664
O 0.7238 0.9321 0.5336
O 0.7238 0.9321 0.9664
O 0.9445 0.2386 0.6190
O 0.9445 0.2386 0.8810
O 0.9445 0.2614 0.1190
O 0.9445 0.2614 0.3810
```

symmetry: No. 57
total energy: -7.551 eV/atom
size of the total moment: 0.0 Bohr magnetons per cell



8.
Crystalline SmErTeO2 at its relaxed geometry. Source: OQMD, functional PBE-GGA. Values from VASP.

Structure (Quantum ESPRESSO input):
```
&SYSTEM
  ibrav = 0, nat = 5, ntyp = 4
/
ATOMIC_SPECIES
Sm 150.36 Sm.upf
Er 167.26 Er.upf
Te 127.60 Te.upf
O 16.00 O.upf
CELL_PARAMETERS angstrom
-1.9683 1.9683 6.2593
1.9683 -1.9683 6.2593
1.9683 1.9683 -6.2593
ATOMIC_POSITIONS crystal
Sm 0.0000 0.0000 0.0000
Er 0.6771 0.6771 0.0000
Te 0.3398 0.3398 0.0000
O 0.0952 0.5952 0.5000
O 0.5952 0.0952 0.5000
```

symmetry: No. 107
total energy: -7.406 eV/atom
size of the total moment: 0.0 Bohr magnetons per cell



9.
Crystalline Er2Sn2O7 at its relaxed geometry. Source: OQMD, functional PBE-GGA. Values from VASP.

Structure (Quantum ESPRESSO input):
```
&SYSTEM
  ibrav = 0, nat = 22, ntyp = 3
/
ATOMIC_SPECIES
Er 167.26 Er.upf
Sn 118.71 Sn.upf
O 16.00 O.upf
CELL_PARAMETERS angstrom
0.0000 5.1755 5.1755
5.1755 0.0000 5.1755
5.1755 5.1755 0.0000
ATOMIC_POSITIONS crystal
Er 0.0000 0.0000 0.0000
Er 0.0000 0.0000 0.5000
Er 0.0000 0.5000 0.0000
Er 0.5000 0.0000 0.0000
Sn 0.0000 0.5000 0.5000
Sn 0.5000 0.0000 0.5000
Sn 0.5000 0.5000 0.0000
Sn 0.5000 0.5000 0.5000
O 0.1250 0.1250 0.1250
O 0.1588 0.1588 0.5912
O 0.1588 0.5912 0.1588
O 0.1588 0.5912 0.5912
O 0.4088 0.4088 0.8412
O 0.4088 0.8412 0.4088
O 0.4088 0.8412 0.8412
O 0.5912 0.1588 0.1588
O 0.5912 0.1588 0.5912
O 0.5912 0.5912 0.1588
O 0.8412 0.4088 0.4088
O 0.8412 0.4088 0.8412
O 0.8412 0.8412 0.4088
O 0.8750 0.8750 0.8750
```

symmetry: No. 227
total energy: -7.295 eV/atom
size of the total moment: 0.0 Bohr magnetons per cell



10.
Crystalline ErSn2O4 at its relaxed geometry. Source: OQMD, functional PBE-GGA. Values from VASP.

Structure (Quantum ESPRESSO input):
```
&SYSTEM
  ibrav = 0, nat = 14, ntyp = 3
/
ATOMIC_SPECIES
Er 167.26 Er.upf
Sn 118.71 Sn.upf
O 16.00 O.upf
CELL_PARAMETERS angstrom
0.0000 4.8483 4.8483
4.8483 0.0000 4.8483
4.8483 4.8483 0.0000
ATOMIC_POSITIONS crystal
Er 0.1250 0.1250 0.1250
Er 0.8750 0.8750 0.8750
Sn 0.0000 0.5000 0.5000
Sn 0.5000 0.0000 0.5000
Sn 0.5000 0.5000 0.0000
Sn 0.5000 0.5000 0.5000
O 0.2527 0.2527 0.2527
O 0.2527 0.2527 0.7418
O 0.2527 0.7418 0.2527
O 0.2582 0.7473 0.7473
O 0.7418 0.2527 0.2527
O 0.7473 0.2582 0.7473
O 0.7473 0.7473 0.2582
O 0.7473 0.7473 0.7473
```

symmetry: No. 227
total energy: -6.386 eV/atom
size of the total moment: 1.4 Bohr magnetons per cell



11.
Crystalline Sr2Er2O5 at its relaxed geometry. Source: OQMD, functional PBE-GGA. Values from VASP.

Structure (Quantum ESPRESSO input):
```
&SYSTEM
  ibrav = 0, nat = 9, ntyp = 3
/
ATOMIC_SPECIES
Sr 87.62 Sr.upf
Er 167.26 Er.upf
O 16.00 O.upf
CELL_PARAMETERS angstrom
4.2748 0.0000 0.0000
0.0000 4.2748 0.0000
0.0000 0.0000 8.0601
ATOMIC_POSITIONS crystal
Sr 0.0000 0.0000 0.0000
Sr 0.0000 0.0000 0.5000
Er 0.5000 0.5000 0.2421
Er 0.5000 0.5000 0.7579
O 0.0000 0.5000 0.1968
O 0.0000 0.5000 0.8032
O 0.5000 0.0000 0.1968
O 0.5000 0.0000 0.8032
O 0.5000 0.5000 0.5000
```

symmetry: No. 123
total energy: -7.186 eV/atom
size of the total moment: 0.0 Bohr magnetons per cell



12.
Crystalline Sr3Er4O9 at its relaxed geometry. Source: OQMD, functional PBE-GGA. Values from VASP.

Structure (Quantum ESPRESSO input):
```
&SYSTEM
  ibrav = 0, nat = 16, ntyp = 3
/
ATOMIC_SPECIES
Sr 87.62 Sr.upf
Er 167.26 Er.upf
O 16.00 O.upf
CELL_PARAMETERS angstrom
2.9497 1.7030 8.3003
-2.9497 1.7030 8.3003
0.0000 -3.4060 8.3003
ATOMIC_POSITIONS crystal
Sr 0.0000 0.0000 0.0000
Sr 0.1736 0.1736 0.1736
Sr 0.5790 0.5790 0.5790
Er 0.3057 0.3057 0.3057
Er 0.4313 0.4313 0.4313
Er 0.7426 0.7426 0.7426
Er 0.8692 0.8692 0.8692
O 0.0495 0.4248 0.6226
O 0.1328 0.5587 0.7429
O 0.1775 0.9983 0.5860
O 0.4248 0.6226 0.0495
O 0.5587 0.7429 0.1328
O 0.5860 0.1775 0.9983
O 0.6226 0.0495 0.4248
O 0.7429 0.1328 0.5587
O 0.9983 0.5860 0.1775
```

symmetry: No. 146
total energy: -7.485 eV/atom
size of the total moment: 0.0 Bohr magnetons per cell



13.
Crystalline Sr2ErO4 at its relaxed geometry. Source: OQMD, functional PBE-GGA. Values from VASP.

Structure (Quantum ESPRESSO input):
```
&SYSTEM
  ibrav = 0, nat = 14, ntyp = 3
/
ATOMIC_SPECIES
Sr 87.62 Sr.upf
Er 167.26 Er.upf
O 16.00 O.upf
CELL_PARAMETERS angstrom
0.0000 4.9807 4.9807
4.9807 0.0000 4.9807
4.9807 4.9807 0.0000
ATOMIC_POSITIONS crystal
Sr 0.0000 0.0000 0.0000
Sr 0.0000 0.0000 0.5000
Sr 0.0000 0.5000 0.0000
Sr 0.5000 0.0000 0.0000
Er 0.3750 0.3750 0.3750
Er 0.6250 0.6250 0.6250
O 0.2505 0.2505 0.2505
O 0.2505 0.2505 0.7486
O 0.2505 0.7486 0.2505
O 0.2514 0.7495 0.7495
O 0.7486 0.2505 0.2505
O 0.7495 0.2514 0.7495
O 0.7495 0.7495 0.2514
O 0.7495 0.7495 0.7495
```

symmetry: No. 227
total energy: -6.619 eV/atom
size of the total moment: 2.0 Bohr magnetons per cell



14.
Crystalline SrErO3 at its relaxed geometry. Source: OQMD, functional PBE-GGA. Values from VASP.

Structure (Quantum ESPRESSO input):
```
&SYSTEM
  ibrav = 0, nat = 10, ntyp = 3
/
ATOMIC_SPECIES
Sr 87.62 Sr.upf
Er 167.26 Er.upf
O 16.00 O.upf
CELL_PARAMETERS angstrom
2.9702 1.7149 5.2894
-2.9702 1.7149 5.2894
0.0000 -3.4297 5.2894
ATOMIC_POSITIONS crystal
Sr 0.1346 0.1346 0.1346
Sr 0.8654 0.8654 0.8654
Er 0.3498 0.3498 0.3498
Er 0.6502 0.6502 0.6502
O 0.0470 0.4751 0.7087
O 0.2913 0.9530 0.5249
O 0.4751 0.7087 0.0470
O 0.5249 0.2913 0.9530
O 0.7087 0.0470 0.4751
O 0.9530 0.5249 0.2913
```

symmetry: No. 148
total energy: -6.969 eV/atom
size of the total moment: 2.0 Bohr magnetons per cell



15.
Crystalline Sr2Er2O5 at its relaxed geometry. Source: OQMD, functional PBE-GGA. Values from VASP.

Structure (Quantum ESPRESSO input):
```
&SYSTEM
  ibrav = 0, nat = 9, ntyp = 3
/
ATOMIC_SPECIES
Sr 87.62 Sr.upf
Er 167.26 Er.upf
O 16.00 O.upf
CELL_PARAMETERS angstrom
4.0128 0.0000 0.0000
0.0000 4.0128 0.0000
0.0000 0.0000 9.7783
ATOMIC_POSITIONS crystal
Sr 0.0000 0.0000 0.2351
Sr 0.0000 0.0000 0.7649
Er 0.5000 0.5000 0.0000
Er 0.5000 0.5000 0.5000
O 0.0000 0.0000 0.5000
O 0.0000 0.5000 0.1251
O 0.0000 0.5000 0.8749
O 0.5000 0.0000 0.1251
O 0.5000 0.0000 0.8749
```

symmetry: No. 123
total energy: -6.192 eV/atom
size of the total moment: 1.3 Bohr magnetons per cell